Material: CaRuRh2
Method: DFT, PBE-GGA
State: optimized geometry

Cell: 2.916 4.806 4.659 Å, 90.00 90.00 90.00°
Site moments in Bohr magnetons follow the coordinates.
Fractional coordinates of all 4 atoms:
Ru (0.500, 0.000, 0.500)  0.78
Ca (0.000, 0.500, 0.500)  -0.01
Rh (0.000, 0.000, 0.000)  0.27
Rh (0.500, 0.500, 0.000)  0.17

Output
As for the density of states at the Fermi level: 5.2 states/eV per cell. The space group is Pmmm, No. 47. As for the energy above the most stable polymorph in this dataset: 0.221 eV/atom. The value obtained for the raw total energy is -24.95 eV per cell. Its formation energy is 0.258 eV/atom.